First-principles (GGA-PBE) data for a relaxed structure of Dy3YHo2Tm6, as listed in the Alexandria database.

Cell: 6.0852 6.0852 11.6367 Å, 95.00 95.00 119.93°
Sites, in units of the cell vectors:
Tm 0.9166 0.5825 0.7499
Ho 0.3334 0.6666 0.0000
Y 0.0000 0.0000 0.0000
Tm 0.4175 0.0834 0.2501
Dy 0.1667 0.8333 0.5000
Tm 0.7493 0.7493 0.2502
Dy 0.5000 0.5000 0.5000
Tm 0.2507 0.2507 0.7498
Tm 0.5825 0.9166 0.7499
Ho 0.6666 0.3334 0.0000
Tm 0.0834 0.4175 0.2501
Dy 0.8333 0.1667 0.5000

Calculated values
* energy relative to the elements: 0.024 eV/atom

First-principles (GGA-PBE) data for a relaxed structure of Ba4FePb, as listed in the Alexandria database.

Cell: 7.1784 7.1784 7.1784 Å, 60.00 60.00 60.00°
Site moments in Bohr magnetons follow the coordinates.
Sites, in units of the cell vectors:
Pb 0.0000 0.0000 0.0000  0.04
Ba 0.6251 0.6251 0.1246  -0.06
Ba 0.6251 0.1246 0.6251  -0.06
Ba 0.6251 0.6251 0.6251  -0.06
Ba 0.1246 0.6251 0.6251  -0.06
Fe 0.2500 0.2500 0.2500  3.23

Calculated values
* energy relative to the elements: 0.704 eV/atom

First-principles (GGA-PBE) data for a relaxed structure of Na16In12Hg, as listed in the Alexandria database.

Cell: 10.1748 10.1748 10.1392 Å, 109.24 109.24 109.45°
Sites, in units of the cell vectors:
Na 0.3673 0.3673 0.3410
Na 0.7118 0.3197 0.3084
Hg 0.6428 0.6428 0.3202
In 0.6298 0.8187 0.6359
In 0.1801 0.3633 0.9938
In 0.8156 0.8156 0.1795
In 0.3633 0.1801 0.9938
Na 0.4176 0.6784 0.0103
Na 0.6852 0.0007 0.4078
Na 0.4065 0.9967 0.6847
In 0.8076 0.1848 0.8119
Na 0.9994 0.6446 0.0030
Na 0.5842 0.2761 0.5882
Na 0.9970 0.9970 0.6490
Na 0.0012 0.0012 0.0013
In 0.3640 0.9929 0.1801
Na 0.3063 0.3063 0.7148
In 0.8187 0.6298 0.6359
In 0.6252 0.6252 0.8106
Na 0.0007 0.6852 0.4078
Na 0.9967 0.4065 0.6847
In 0.9929 0.3640 0.1801
Na 0.2761 0.5842 0.5882
Na 0.3197 0.7118 0.3084
In 0.1848 0.8076 0.8119
Na 0.6784 0.4176 0.0103
In 0.1849 0.9977 0.3676
In 0.9977 0.1849 0.3676
Na 0.6446 0.9994 0.0030

Calculated values
* energy relative to the elements: -0.124 eV/atom

First-principles (GGA-PBE) data for a relaxed structure of Co2AsOs, as listed in the Alexandria database.

Cell: 2.7131 2.7131 6.9012 Å, 90.00 90.00 90.00°
Site moments in Bohr magnetons follow the coordinates.
Sites, in units of the cell vectors:
Co 0.0000 0.0000 0.5029  0.69
As 0.5000 0.5000 0.7500  0.02
Os 0.5000 0.5000 0.2500  0.04
Co 0.0000 0.0000 0.9971  0.69

Calculated values
* energy relative to the elements: 0.196 eV/atom

First-principles (GGA-PBE) data for a relaxed structure of CaPrZnSi, as listed in the Alexandria database.

Cell: 5.1544 5.1544 5.1544 Å, 60.00 60.00 60.00°
Sites, in units of the cell vectors:
Zn 0.5000 0.5000 0.5000
Ca 0.7500 0.7500 0.7500
Pr 0.2500 0.2500 0.2500
Si 0.0000 0.0000 0.0000

Calculated values
* E_form (uncorrected): -8.43 kcal/mol of atoms

| no. | DOS at the Fermi energy (states/eV/f.u.) |
| --- | --- |
| 1 | 17.0 |
| 2 | 6.8 |
| 3 | 10.2 |
| 4 | 4.7 |
| 5 | 3.1 |